Record 1
Compound: Zn6CdAu12
Source: the Alexandria database
Functional: GGA-PBE
Structure: relaxed

Magnetization, μB per formula unit: 0.0
Energy of formation, eV per atom: -0.094

Cell lengths 7.5808, 7.5808, 7.5808 Å; angles 107.64, 107.64, 107.64 degrees
Closest atoms and distances in Å follow each position.
Fractional coordinates of all 19 atoms:
Zn 0.2940 0.2940 0.6981  8 Au 2.66-2.96
Zn 0.2940 0.6981 0.2940  8 Au 2.66-2.96
Zn 0.3019 0.7060 0.7060  8 Au 2.66-2.96
Zn 0.6981 0.2940 0.2940  8 Au 2.66-2.96
Zn 0.7060 0.3019 0.7060  8 Au 2.66-2.96
Zn 0.7060 0.7060 0.3019  8 Au 2.66-2.96
Cd 0.0000 0.0000 0.0000  6 Au 2.87
Au 0.1198 0.5000 0.8802  4 Zn 2.67-2.70, 5 Au 2.86-2.93
Au 0.1198 0.8802 0.5000  4 Zn 2.67-2.70, 5 Au 2.86-2.93
Au 0.1238 0.3611 0.3611  4 Zn 2.66-2.96, 4 Au 2.86-2.90, 1 Cd 2.87
Au 0.3611 0.1238 0.3611  4 Zn 2.66-2.96, 4 Au 2.86-2.90, 1 Cd 2.87
Au 0.3611 0.3611 0.1238  4 Zn 2.66-2.96, 4 Au 2.86-2.90, 1 Cd 2.87
Au 0.5000 0.1198 0.8802  4 Zn 2.67-2.70, 5 Au 2.86-2.93
Au 0.5000 0.8802 0.1198  4 Zn 2.67-2.70, 5 Au 2.86-2.93
Au 0.6389 0.6389 0.8762  4 Zn 2.66-2.96, 4 Au 2.86-2.90, 1 Cd 2.87
Au 0.6389 0.8762 0.6389  4 Zn 2.66-2.96, 4 Au 2.86-2.90, 1 Cd 2.87
Au 0.8762 0.6389 0.6389  4 Zn 2.66-2.96, 4 Au 2.86-2.90, 1 Cd 2.87
Au 0.8802 0.1198 0.5000  4 Zn 2.67-2.70, 5 Au 2.86-2.93
Au 0.8802 0.5000 0.1198  4 Zn 2.67-2.70, 5 Au 2.86-2.93


Record 2
Compound: ZnCdAu2
Source: the Alexandria database
Functional: GGA-PBE
Structure: relaxed

Magnetization, μB per formula unit: 0.0
Energy of formation, eV per atom: -0.067

Cell lengths 6.9581, 6.9581, 6.9581 Å; angles 31.51, 31.51, 31.51 degrees
Closest atoms and distances in Å follow each position.
Fractional coordinates of all 4 atoms:
Zn 0.0000 0.0000 0.0000  6 Au 2.63
Cd 0.8326 0.8326 0.8326  6 Au 2.84-2.86
Au 0.4073 0.4073 0.4073  3 Zn 2.63, 3 Cd 2.84
Au 0.5923 0.5923 0.5923  3 Zn 2.63, 3 Cd 2.86


Record 3
Compound: Zn4CdAu3
Source: the Alexandria database
Functional: GGA-PBE
Structure: relaxed

Magnetization, μB per formula unit: 0.0
Energy of formation, eV per atom: -0.136

Cell lengths 7.9514, 7.9514, 7.9514 Å; angles 33.14, 33.14, 33.14 degrees
Closest atoms and distances in Å follow each position.
Fractional coordinates of all 8 atoms:
Zn 0.1189 0.1189 0.1189  5 Au 2.68-2.82, 3 Cd 2.83
Zn 0.3695 0.3695 0.3695  7 Au 2.74-2.88, 1 Cd 2.94
Zn 0.6305 0.6305 0.6305  7 Au 2.74-2.88, 1 Cd 2.94
Zn 0.8811 0.8811 0.8811  5 Au 2.68-2.82, 3 Cd 2.83
Cd 0.5000 0.5000 0.5000  8 Zn 2.83-2.94, 6 Au 3.15
Au 0.0000 0.0000 0.0000  8 Zn 2.68-2.74
Au 0.2441 0.2441 0.2441  8 Zn 2.70-2.88
Au 0.7559 0.7559 0.7559  8 Zn 2.70-2.88


Record 4
Compound: Zn4Cd3Au4
Source: the Alexandria database
Functional: GGA-PBE
Structure: relaxed

Magnetization, μB per formula unit: 0.0
Energy of formation, eV per atom: -0.124

Cell lengths 7.9724, 7.9724, 7.9724 Å; angles 149.72, 121.81, 67.01 degrees
Closest atoms and distances in Å follow each position.
Fractional coordinates of all 11 atoms:
Zn 0.0070 0.8186 0.1885  4 Au 2.56-2.69
Zn 0.3699 0.1814 0.1885  4 Au 2.56-2.69
Zn 0.6301 0.8186 0.8115  4 Au 2.56-2.69
Zn 0.9930 0.1814 0.8115  4 Au 2.56-2.69
Cd 0.0000 0.5000 0.5000  6 Au 3.06-3.12
Cd 0.3875 0.3875 0.0000  6 Au 2.95-2.99, 1 Cd 2.99, 2 Zn 3.11
Cd 0.6125 0.6125 0.0000  6 Au 2.95-2.99, 1 Cd 2.99, 2 Zn 3.11
Au 0.2304 0.7304 0.5000  6 Zn 2.63-2.69
Au 0.3003 0.0000 0.3003  2 Zn 2.56
Au 0.6997 0.0000 0.6997  2 Zn 2.56
Au 0.7696 0.2696 0.5000  6 Zn 2.63-2.69


Record 5
Compound: ZnCd3Au4
Source: the Alexandria database
Functional: GGA-PBE
Structure: relaxed

Magnetization, μB per formula unit: 0.0
Energy of formation, eV per atom: -0.162

Cell lengths 7.8149, 7.8149, 4.6239 Å; angles 106.66, 106.66, 33.77 degrees
Closest atoms and distances in Å follow each position.
Fractional coordinates of all 8 atoms:
Zn 0.0000 0.0000 0.0000  8 Au 2.82-2.91
Cd 0.2494 0.2494 0.2521  8 Au 2.94-3.00, 4 Cd 3.22-3.26
Cd 0.5000 0.5000 0.5000  8 Au 2.84-2.87
Cd 0.7506 0.7506 0.7479  8 Au 2.94-3.00, 4 Cd 3.22-3.26
Au 0.1195 0.1195 0.6253  2 Zn 2.84-2.91, 6 Cd 2.84-2.97
Au 0.3824 0.3824 0.8837  2 Zn 2.82, 6 Cd 2.85-3.00
Au 0.6176 0.6176 0.1163  2 Zn 2.82, 6 Cd 2.85-3.00
Au 0.8805 0.8805 0.3747  2 Zn 2.84-2.91, 6 Cd 2.84-2.97


Record 6
Compound: ZnCd2Au2
Source: the Alexandria database
Functional: GGA-PBE
Structure: relaxed

Magnetization, μB per formula unit: 0.0
Energy of formation, eV per atom: -0.144

Cell lengths 5.4478, 5.4478, 9.3895 Å; angles 108.41, 108.41, 49.51 degrees
Closest atoms and distances in Å follow each position.
Fractional coordinates of all 10 atoms:
Zn 0.2188 0.2188 0.3672  4 Au 2.62-2.71
Zn 0.7812 0.7812 0.6328  4 Au 2.62-2.71
Cd 0.3369 0.3369 0.9349  6 Au 2.88-3.18, 1 Cd 3.03
Cd 0.4790 0.4790 0.6615  5 Au 2.91-3.17, 4 Zn 2.96-3.09, 1 Cd 3.20
Cd 0.5210 0.5210 0.3385  5 Au 2.91-3.17, 4 Zn 2.96-3.09, 1 Cd 3.20
Cd 0.6631 0.6631 0.0651  6 Au 2.88-3.18, 1 Cd 3.03
Au 0.0297 0.0297 0.8660  1 Zn 2.66, 2 Au 2.78-2.92, 5 Cd 2.88-2.95
Au 0.1475 0.1475 0.6208  3 Zn 2.62-2.71, 3 Cd 2.89-2.93, 1 Au 2.92
Au 0.8525 0.8525 0.3792  3 Zn 2.62-2.71, 3 Cd 2.89-2.93, 1 Au 2.92
Au 0.9703 0.9703 0.1340  1 Zn 2.66, 2 Au 2.78-2.92, 5 Cd 2.88-2.95